# 1
The following is a GGA-PBE calculation of crystalline TiNbW14 at its relaxed geometry, from the Alexandria database.

Geometry as POSCAR:
```
TiNbW14
1.0
5.517 0.170 0.000
-2.006 5.142 0.000
0.000 0.000 9.036
Ti Nb W
1 1 14
Direct
0.625 0.375 0.500 Ti
0.125 0.875 0.500 Nb
0.125 0.875 0.000 W
0.625 0.375 0.000 W
0.125 0.375 0.500 W
0.125 0.375 0.000 W
0.625 0.875 0.500 W
0.625 0.875 0.000 W
0.376 0.126 0.753 W
0.376 0.126 0.247 W
0.874 0.624 0.753 W
0.874 0.624 0.247 W
0.376 0.624 0.750 W
0.376 0.624 0.250 W
0.874 0.126 0.750 W
0.874 0.126 0.250 W
```

Calculated values
For the total energy, the calculation gives -0.4600 Ha/atom. As for the magnetic moment: 0.00 μB per cell. The value obtained for the calculated formation energy is -0.060 eV per atom.

# 2
The following is a GGA-PBE calculation of crystalline TiNb6W2 at its relaxed geometry, from the Alexandria database.

Geometry as POSCAR:
```
TiNb6W2
1.0
4.514 -1.333 -2.222
-3.284 8.796 -1.376
-0.589 -0.158 9.469
Ti Nb W
2 12 4
Direct
0.250 0.750 0.250 Ti
0.750 0.250 0.750 Ti
0.335 0.331 0.498 Nb
0.165 0.502 0.669 Nb
0.665 0.669 0.502 Nb
0.835 0.498 0.331 Nb
0.918 0.083 0.583 Nb
0.582 0.417 0.917 Nb
0.082 0.917 0.417 Nb
0.418 0.583 0.083 Nb
0.165 0.169 0.002 Nb
0.335 0.998 0.831 Nb
0.835 0.831 0.998 Nb
0.665 0.002 0.169 Nb
0.000 0.342 0.158 W
0.500 0.842 0.658 W
0.000 0.658 0.842 W
0.500 0.158 0.342 W
```

Calculated values
For the total energy, the calculation gives -0.3807 Ha/atom. As for the magnetic moment: 0.00 μB per cell. The value obtained for the calculated formation energy is 0.109 eV per atom. The energy above the lowest structure with this stoichiometry comes out at 0 meV/atom.

# 3
The following is a GGA-PBE calculation of crystalline TiNb3W3 at its relaxed geometry, from the Alexandria database.

Geometry as POSCAR:
```
TiNb3W3
1.0
4.567 0.000 0.000
0.000 7.536 -3.879
0.000 -0.247 7.041
Ti Nb W
2 6 6
Direct
0.750 0.685 0.392 Ti
0.250 0.315 0.608 Ti
0.750 0.539 0.677 Nb
0.750 0.102 0.530 Nb
0.750 0.388 0.963 Nb
0.250 0.461 0.323 Nb
0.250 0.898 0.470 Nb
0.250 0.612 0.038 Nb
0.750 0.966 0.830 W
0.750 0.826 0.103 W
0.750 0.247 0.250 W
0.250 0.034 0.170 W
0.250 0.174 0.897 W
0.250 0.753 0.750 W
```

Calculated values
For the total energy, the calculation gives -0.4052 Ha/atom. As for the magnetic moment: 0.00 μB per cell. The value obtained for the calculated formation energy is -0.032 eV per atom.

# 4
The following is a GGA-PBE calculation of crystalline TiNb2W at its relaxed geometry, from the Alexandria database.

Geometry as POSCAR:
```
TiNb2W
1.0
-4.321 0.268 1.559
-3.452 0.847 -2.922
-3.022 -3.318 -1.014
Nb W Ti
2 1 1
Direct
0.250 0.250 0.250 Nb
0.750 0.750 0.750 Nb
0.500 0.500 0.500 W
0.000 0.000 0.000 Ti
```

Calculated values
For the total energy, the calculation gives -0.3772 Ha/atom. As for the magnetic moment: 0.00 μB per cell. The value obtained for the calculated formation energy is -0.018 eV per atom. The energy above the lowest structure with this stoichiometry comes out at 0 meV/atom.

# 5
The following is a GGA-PBE calculation of crystalline TiNb2W3 at its relaxed geometry, from the Alexandria database.

Geometry as POSCAR:
```
TiNb2W3
1.0
-3.137 3.214 -0.738
-2.470 -3.652 -5.405
-2.481 -4.529 4.856
Ti Nb W
2 4 6
Direct
0.148 0.278 0.295 Ti
0.852 0.722 0.705 Ti
0.463 0.807 0.926 Nb
0.537 0.193 0.074 Nb
0.233 0.655 0.466 Nb
0.767 0.345 0.534 Nb
0.694 0.961 0.388 W
0.076 0.884 0.151 W
0.383 0.416 0.767 W
0.617 0.584 0.233 W
0.924 0.116 0.849 W
0.306 0.039 0.612 W
```

Calculated values
For the total energy, the calculation gives -0.3999 Ha/atom. As for the magnetic moment: 0.00 μB per cell. The value obtained for the calculated formation energy is 0.268 eV per atom. The energy above the lowest structure with this stoichiometry comes out at 271 meV/atom.

# 6
The following is a GGA-PBE calculation of crystalline TiNb2W at its relaxed geometry, from the Alexandria database.

Geometry as POSCAR:
```
TiNb2W
1.0
7.277 0.000 0.000
0.000 7.277 0.000
3.638 3.638 2.783
Nb W Ti
4 2 2
Direct
0.634 0.125 0.250 Nb
0.116 0.625 0.250 Nb
0.375 0.366 0.750 Nb
0.875 0.884 0.750 Nb
0.000 0.000 0.000 W
0.750 0.250 0.500 W
0.500 0.500 0.000 Ti
0.250 0.750 0.500 Ti
```

Calculated values
For the total energy, the calculation gives -0.3539 Ha/atom. As for the magnetic moment: 0.00 μB per cell. The value obtained for the calculated formation energy is 0.618 eV per atom. The energy above the lowest structure with this stoichiometry comes out at 636 meV/atom.

# 7
The following is a GGA-PBE calculation of crystalline Ti12Nb3W5 at its relaxed geometry, from the Alexandria database.

Geometry as POSCAR:
```
Ti12Nb3W5
1.0
12.970 0.000 0.000
-4.323 12.228 0.000
-4.323 -6.114 10.590
Nb W Ti
12 20 48
Direct
0.750 0.375 0.125 Nb
0.875 0.750 0.125 Nb
0.375 0.750 0.625 Nb
0.250 0.125 0.375 Nb
0.875 0.125 0.250 Nb
0.375 0.625 0.250 Nb
0.625 0.375 0.750 Nb
0.125 0.875 0.750 Nb
0.750 0.875 0.625 Nb
0.625 0.250 0.375 Nb
0.125 0.250 0.875 Nb
0.250 0.625 0.875 Nb
0.125 0.375 0.250 W
0.000 0.500 0.000 W
0.000 0.000 0.000 W
0.375 0.250 0.125 W
0.500 0.000 0.500 W
0.500 0.500 0.000 W
0.125 0.750 0.375 W
0.750 0.125 0.875 W
0.750 0.625 0.375 W
0.375 0.125 0.750 W
0.625 0.875 0.250 W
0.500 0.500 0.500 W
0.500 0.000 0.000 W
0.000 0.000 0.500 W
0.250 0.375 0.625 W
0.250 0.875 0.125 W
0.000 0.500 0.500 W
0.875 0.250 0.625 W
0.625 0.750 0.875 W
0.875 0.625 0.750 W
0.723 0.118 0.054 Ti
0.331 0.554 0.436 Ti
0.946 0.382 0.277 Ti
0.554 0.223 0.118 Ti
0.605 0.723 0.669 Ti
0.946 0.564 0.169 Ti
0.331 0.777 0.395 Ti
0.064 0.895 0.118 Ti
0.564 0.946 0.669 Ti
0.723 0.605 0.169 Ti
0.777 0.446 0.382 Ti
0.831 0.936 0.054 Ti
0.118 0.723 0.554 Ti
0.382 0.436 0.105 Ti
0.105 0.936 0.382 Ti
0.395 0.118 0.564 Ti
0.105 0.169 0.223 Ti
0.446 0.669 0.064 Ti
0.831 0.895 0.277 Ti
0.118 0.395 0.064 Ti
0.382 0.946 0.777 Ti
0.564 0.618 0.395 Ti
0.936 0.831 0.554 Ti
0.777 0.331 0.895 Ti
0.436 0.382 0.605 Ti
0.064 0.169 0.446 Ti
0.223 0.669 0.105 Ti
0.169 0.105 0.723 Ti
0.618 0.054 0.223 Ti
0.882 0.605 0.936 Ti
0.554 0.331 0.936 Ti
0.605 0.882 0.436 Ti
0.895 0.831 0.777 Ti
0.895 0.064 0.618 Ti
0.882 0.277 0.446 Ti
0.169 0.064 0.946 Ti
0.618 0.564 0.895 Ti
0.436 0.054 0.331 Ti
0.277 0.395 0.831 Ti
0.223 0.554 0.618 Ti
0.936 0.105 0.882 Ti
0.669 0.223 0.605 Ti
0.446 0.777 0.882 Ti
0.054 0.436 0.831 Ti
0.395 0.277 0.331 Ti
0.054 0.618 0.723 Ti
0.669 0.446 0.564 Ti
0.277 0.882 0.946 Ti
```

Calculated values
For the total energy, the calculation gives -0.2984 Ha/atom. As for the magnetic moment: 0.01 μB per cell. The value obtained for the calculated formation energy is 1.367 eV per atom.

# 8
The following is a GGA-PBE calculation of crystalline TiNbW at its relaxed geometry, from the Alexandria database.

Geometry as POSCAR:
```
TiNbW
1.0
-1.474 2.352 -0.300
-4.219 -0.905 -3.582
-0.155 -2.399 8.064
Ti Nb W
2 2 2
Direct
0.268 0.595 0.928 Ti
0.351 0.064 0.930 Ti
0.979 0.577 0.261 Nb
0.640 0.082 0.598 Nb
0.976 0.081 0.264 W
0.643 0.577 0.594 W
```

Calculated values
For the total energy, the calculation gives -0.3791 Ha/atom. As for the magnetic moment: 0.00 μB per cell. The value obtained for the calculated formation energy is -0.010 eV per atom. The energy above the lowest structure with this stoichiometry comes out at 25 meV/atom.

# 9
The following is a GGA-PBE calculation of crystalline ZrTiNbW at its relaxed geometry, from the Alexandria database.

Geometry as POSCAR:
```
ZrTiNbW
1.0
-1.049 2.013 -4.105
-0.256 -2.605 -3.892
-4.159 -0.807 -2.013
Nb Zr W Ti
1 1 1 1
Direct
0.500 0.500 0.500 Nb
0.000 0.000 0.000 Zr
0.750 0.750 0.750 W
0.250 0.250 0.250 Ti
```

Calculated values
For the total energy, the calculation gives -0.3597 Ha/atom. As for the magnetic moment: 0.58 μB per cell. The value obtained for the calculated formation energy is 0.080 eV per atom.

# 10
The following is a GGA-PBE calculation of crystalline YTi2Nb2 at its relaxed geometry, from the Alexandria database.

Geometry as POSCAR:
```
YTi2Nb2
1.0
7.709 0.000 0.000
0.000 7.709 0.000
0.000 0.000 3.433
Y Nb Ti
2 4 4
Direct
0.000 0.000 0.000 Y
0.500 0.500 0.000 Y
0.161 0.661 0.500 Nb
0.661 0.839 0.500 Nb
0.839 0.339 0.500 Nb
0.339 0.161 0.500 Nb
0.374 0.874 0.000 Ti
0.874 0.626 0.000 Ti
0.626 0.126 0.000 Ti
0.126 0.374 0.000 Ti
```

Calculated values
For the total energy, the calculation gives -0.3047 Ha/atom. As for the magnetic moment: 0.00 μB per cell. The value obtained for the calculated formation energy is 0.187 eV per atom. The energy above the lowest structure with this stoichiometry comes out at 0 meV/atom.